No. 1
VASP calculation (GGA-PBE) on an optimized crystal structure of LiNdHoBe.

abc: 5.0581 5.0581 5.0581
angles: 60.00 60.00 60.00
Fractional coordinates of all 4 atoms:
Be 0.5000 0.5000 0.5000
Nd 0.7500 0.7500 0.7500
Ho 0.2500 0.2500 0.2500
Li 0.0000 0.0000 0.0000

symmetry: F-43m
formation enthalpy at 0 K: 0.16 eV/atom
volume: 22.88 Å³/atom
uncorrected energy: -3.59 eV per atom

***

No. 2
VASP calculation (GGA-PBE) on an optimized crystal structure of SrMn2Tc.

abc: 9.6482 9.6482 9.6482
angles: 18.16 18.16 18.16
Fractional coordinates of all 4 atoms:
Mn 0.0155 0.0155 0.0155
Mn 0.4845 0.4845 0.4845
Sr 0.2500 0.2500 0.2500
Tc 0.7500 0.7500 0.7500

offset from the most stable computed form: 469.2 meV per atom
symmetry: R-3m
formation enthalpy at 0 K: 0.87 eV/atom
volume: 19.04 Å³/atom
uncorrected energy: -6.72 eV per atom

***

No. 3
VASP calculation (GGA-PBE) on an optimized crystal structure of YRhS3.

abc: 5.1828 5.1828 5.1828
angles: 90.00 90.00 90.00
Fractional coordinates of all 5 atoms:
Y 0.0000 0.0000 0.0000
S 0.0000 0.5000 0.0000
S 0.0000 0.0000 0.5000
S 0.5000 0.0000 0.0000
Rh 0.5000 0.5000 0.5000

formation energy from raw total energies: 0.267 eV per atom
offset from the most stable computed form: 891.6 meV per atom
symmetry: Pm-3m
volume: 27.84 Å³/atom
uncorrected energy: -4.97 eV per atom

***

No. 4
VASP calculation (GGA-PBE) on an optimized crystal structure of ZrNiB.

abc: 3.6050 6.6592 6.4352
angles: 90.00 90.00 90.00
Fractional coordinates of all 12 atoms:
Ni 0.0000 0.2138 0.9470
Ni 0.0000 0.7862 0.9470
Ni 0.5000 0.7138 0.4470
Ni 0.5000 0.2862 0.4470
B 0.0000 0.2540 0.6152
B 0.0000 0.7460 0.6152
B 0.5000 0.7540 0.1152
B 0.5000 0.2460 0.1152
Zr 0.0000 0.5000 0.2454
Zr 0.5000 0.0000 0.7454
Zr 0.0000 0.0000 0.2989
Zr 0.5000 0.5000 0.7989

symmetry: Imm2
formation enthalpy at 0 K: -0.47 eV/atom
volume: 12.87 Å³/atom
uncorrected energy: -7.47 eV per atom

***

No. 5
VASP calculation (GGA-PBE) on an optimized crystal structure of SmYHo.

abc: 3.5732 3.5732 8.0028
angles: 102.90 102.90 90.00
Fractional coordinates of all 3 atoms:
Y 0.0012 0.0012 0.0024
Ho 0.6665 0.6665 0.3330
Sm 0.3323 0.3323 0.6647

offset from the most stable computed form: 12.7 meV per atom
symmetry: I4mm
formation enthalpy at 0 K: 0.02 eV/atom
volume: 32.32 Å³/atom
uncorrected energy: -5.23 eV per atom

***

No. 6
VASP calculation (GGA-PBE) on an optimized crystal structure of TaTe2Se.

abc: 12.7895 12.7895 12.7895
angles: 13.81 13.81 13.81
Fractional coordinates of all 4 atoms:
Te 0.9248 0.9248 0.9248
Te 0.0752 0.0752 0.0752
Se 0.5000 0.5000 0.5000
Ta 0.0000 0.0000 0.0000

formation energy from raw total energies: 0.597 eV per atom
symmetry: R-3m
volume: 25.95 Å³/atom
uncorrected energy: -4.81 eV per atom

***

No. 7
VASP calculation (GGA-PBE) on an optimized crystal structure of TcAs2Ru.

abc: 5.4650 5.4650 5.4650
angles: 147.60 134.88 56.63
Fractional coordinates of all 4 atoms:
Ru 0.4840 0.4840 0.0000
As 0.9869 0.9869 0.0000
As 0.2649 0.7649 0.5000
Tc 0.7642 0.2642 0.5000

offset from the most stable computed form: 210.7 meV per atom
symmetry: Imm2
formation enthalpy at 0 K: 0.09 eV/atom
volume: 15.38 Å³/atom
uncorrected energy: -7.15 eV per atom